Record 1
The following is a DFT calculation (PBE) of a relaxed structure of NbAg2.

Output
E, eV per atom: -4.2779
Energy relative to the elements, meV/atom: 970
Total moment, μB per cell: 2.26

Unit cell a=6.3327 b=6.3327 c=6.3327 alpha=90.00 beta=90.00 gamma=90.00
Space group Fm-3m (No. 225)
Asymmetric unit:
Nb 0.0000 0.0000 0.0000 x4
Ag 0.2500 0.2500 0.2500 x8

=====

Record 2
The following is a DFT calculation (PBE) of a relaxed structure of Nb2Ag.

Output
E, eV per atom: -6.6289
Energy relative to the elements, meV/atom: 1042
Total moment, μB per cell: 0.08

Unit cell a=6.2977 b=6.2977 c=6.2977 alpha=90.00 beta=90.00 gamma=90.00
Space group Fm-3m (No. 225)
Asymmetric unit:
Nb 0.2500 0.2500 0.2500 x8
Ag 0.0000 0.0000 0.0000 x4

=====

Record 3
The following is a DFT calculation (PBE) of a relaxed structure of NbAg2.

Output
E, eV per atom: -4.7098
Energy relative to the elements, meV/atom: 538
Total moment, μB per cell: 11.46

Unit cell a=7.5755 b=7.5755 c=7.5755 alpha=90.00 beta=90.00 gamma=90.00
Space group Fd-3m (No. 227, origin choice 2)
Asymmetric unit:
Nb 0.1250 0.1250 0.1250 x8
Ag 0.0000 0.0000 0.5000 x16

=====

Record 4
The following is a DFT calculation (PBE) of a relaxed structure of NbNi2Ag.

Output
E, eV per atom: -5.7643
Energy relative to the elements, meV/atom: 249
Total moment, μB per cell: 0.48

Unit cell a=6.1267 b=6.1267 c=6.1267 alpha=90.00 beta=90.00 gamma=90.00
Space group F-43m (No. 216)
Asymmetric unit:
Nb 0.0000 0.0000 0.0000 x4
Ni 0.0000 0.0000 0.5000 x4
Ni 0.2500 0.2500 0.7500 x4
Ag 0.2500 0.2500 0.2500 x4

=====

Record 5
The following is a DFT calculation (PBE) of a relaxed structure of NbNiAg.

Output
E, eV per atom: -5.7288
Energy relative to the elements, meV/atom: 433
Total moment, μB per cell: 1.58

Unit cell a=5.9176 b=5.9176 c=5.9176 alpha=90.00 beta=90.00 gamma=90.00
Space group F-43m (No. 216)
Asymmetric unit:
Nb 0.0000 0.0000 0.0000 x4
Ni 0.2500 0.2500 0.7500 x4
Ag 0.0000 0.0000 0.5000 x4

=====

Record 6
The following is a DFT calculation (PBE) of a relaxed structure of NbNiAg.

Output
E, eV per atom: -5.3371
Energy relative to the elements, meV/atom: 825
Total moment, μB per cell: 0.03

Unit cell a=6.0820 b=6.0820 c=6.0820 alpha=90.00 beta=90.00 gamma=90.00
Space group F-43m (No. 216)
Asymmetric unit:
Nb 0.0000 0.0000 0.0000 x4
Ni 0.2500 0.2500 0.2500 x4
Ag 0.2500 0.2500 0.7500 x4

=====

Record 7
The following is a DFT calculation (PBE) of a relaxed structure of Nb2NiAg.

Output
E, eV per atom: -6.7611
Energy relative to the elements, meV/atom: 384
Total moment, μB per cell: 7.24

Unit cell a=6.3962 b=6.3962 c=6.3962 alpha=90.00 beta=90.00 gamma=90.00
Space group F-43m (No. 216)
Asymmetric unit:
Nb 0.0000 0.0000 0.0000 x4
Nb 0.2500 0.2500 0.2500 x4
Ni 0.0000 0.0000 0.5000 x4
Ag 0.2500 0.2500 0.7500 x4

=====

Record 8
The following is a DFT calculation (PBE) of a relaxed structure of NbSiNiAg.

Output
E, eV per atom: -5.9078
Total moment, μB per cell: 0.05

Unit cell a=6.1982 b=6.1982 c=6.1982 alpha=90.00 beta=90.00 gamma=90.00
Space group F-43m (No. 216)
Asymmetric unit:
Nb 0.0000 0.0000 0.0000 x4
Si 0.2500 0.2500 0.2500 x4
Ni 0.0000 0.0000 0.5000 x4
Ag 0.2500 0.2500 0.7500 x4

=====

Record 9
The following is a DFT calculation (PBE) of a relaxed structure of NpNbAg.

Output
E, eV per atom: -7.4971
Energy relative to the elements, meV/atom: 1066
Total moment, μB per cell: 11.82

Unit cell a=6.3915 b=6.3915 c=6.3915 alpha=90.00 beta=90.00 gamma=90.00
Space group F-43m (No. 216)
Asymmetric unit:
Np 0.0000 0.0000 0.0000 x4
Nb 0.2500 0.2500 0.7500 x4
Ag 0.0000 0.0000 0.5000 x4

=====

Record 10
The following is a DFT calculation (PBE) of a relaxed structure of NbAgO3.

Output
E, eV per atom: -7.3361
Total moment, μB per cell: 0.00

Unit cell a=5.4196 b=5.4196 c=15.6890 alpha=90.00 beta=90.00 gamma=120.00
Space group R-3 (No. 148, hexagonal axes)
Asymmetric unit:
Nb 0.0000 0.0000 0.1494 x6
Ag 0.0000 0.0000 0.3656 x6
O 0.0126 0.6131 0.4279 x18

=====

Record 11
The following is a DFT calculation (PBE) of a relaxed structure of NbAg3O4.

Output
E, eV per atom: -5.9078
Total moment, μB per cell: 0.00

Unit cell a=10.0154 b=5.0857 c=10.4890 alpha=90.00 beta=114.85 gamma=90.00
Space group C2/c (No. 15)
Asymmetric unit:
Nb 0.0000 0.0423 0.2500 x4
Ag 0.0000 0.5000 0.0000 x4
Ag 0.2334 0.0497 0.5896 x8
O 0.0934 0.1785 0.9066 x8
O 0.1362 0.2548 0.2158 x8

=====

Record 12
The following is a DFT calculation (PBE) of a relaxed structure of NbAgO3.

Output
E, eV per atom: -7.3166
Total moment, μB per cell: 0.00

Unit cell a=5.5795 b=5.6469 c=15.6390 alpha=90.00 beta=90.00 gamma=90.00
Space group Pbcm (No. 57)
Asymmetric unit:
Nb 0.2436 0.2194 0.1252 x8
Ag 0.2566 0.7500 0.0000 x4
Ag 0.2614 0.7235 0.2500 x4
O 0.0433 0.5419 0.1079 x8
O 0.1844 0.2260 0.7500 x4
O 0.3187 0.2500 0.0000 x4
O 0.4572 0.5384 0.6423 x8

=====

- What is the formula in the sixth record?
  NbNiAg

=====

- Among the records above, which one has the highest total moment?
  NpNbAg